{"formula": "Tb8Zn2Hg", "functional": "PBE", "state": "relaxed", "relative_energy_mev_per_atom": 0, "lattice": [[5.0978, 0.0000, 0.0000], [0.0000, 7.1130, 0.1268], [-2.5489, -2.8940, 8.4554]], "species": ["Hg", "Zn", "Zn", "Tb", "Tb", "Tb", "Tb", "Tb", "Tb", "Tb", "Tb"], "frac_coords": [[0.5000, 0.0000, 0.0000], [0.8150, 0.2919, 0.6301], [0.1850, 0.7081, 0.3699], [0.4078, 0.5343, 0.8156], [0.3288, 0.0282, 0.6576], [0.9708, 0.2346, 0.9415], [0.6712, 0.9718, 0.3424], [0.1969, 0.3142, 0.3938], [0.8031, 0.6858, 0.6062], [0.5922, 0.4657, 0.1844], [0.0292, 0.7654, 0.0585]]}

---

{"formula": "Tb2Zn5Hg", "functional": "PBE", "state": "relaxed", "lattice": [[4.3218, 0.0000, 0.0000], [-2.1609, 8.1506, 0.0000], [0.0000, 0.0000, 9.0461]], "species": ["Hg", "Hg", "Tb", "Tb", "Tb", "Tb", "Zn", "Zn", "Zn", "Zn", "Zn", "Zn", "Zn", "Zn", "Zn", "Zn"], "frac_coords": [[0.4484, 0.8967, 0.7500], [0.5516, 0.1033, 0.2500], [0.0000, 0.0000, 0.5000], [0.7986, 0.5973, 0.7500], [0.2014, 0.4027, 0.2500], [0.0000, 0.0000, 0.0000], [0.3456, 0.6912, 0.5199], [0.6544, 0.3088, 0.0199], [0.3915, 0.7831, 0.2500], [0.3456, 0.6912, 0.9801], [0.6544, 0.3088, 0.4801], [0.1865, 0.3729, 0.8913], [0.6085, 0.2169, 0.7500], [0.1865, 0.3729, 0.6087], [0.8135, 0.6271, 0.1087], [0.8135, 0.6271, 0.3913]]}

---

Looking at raw total energy for the records above, in order, we have -3.79, -2.33 eV per atom.